# PBE CoSiMoOs, optimized geometry
data_CoSiMoOs
_chemical_formula_sum 'Co4 Si4 Mo4 Os4'
_symmetry_space_group_name_H-M 'F -4 3 m'
_symmetry_Int_Tables_number 216
_symmetry_space_group_name_Hall 'F -4 2 3'
_cell_length_a 5.990
_cell_length_b 5.990
_cell_length_c 5.990
_cell_angle_alpha 90.00
_cell_angle_beta 90.00
_cell_angle_gamma 90.00
loop_
_atom_site_label
_atom_site_type_symbol
_atom_site_fract_x
_atom_site_fract_y
_atom_site_fract_z
Co1 Co 0.000 0.000 0.000
Si1 Si 0.250 0.250 0.750
Mo1 Mo 0.250 0.250 0.250
Os1 Os 0.000 0.000 0.500
# **Energy above the most stable polymorph in this dataset**: 0 meV per atom
# **Electronic total energy**: -138.80 eV per cell